First-principles (PBE-GGA) data for a geometry-optimized LiTb2PbS4 structure, as listed in Alexandria.

abc: 8.033 8.033 8.033
angles: 119.90 119.65 90.39
Fractional coordinates of all 16 atoms:
Li1 0.000 0.000 0.000
Li2 0.500 0.000 0.500
Tb1 0.000 0.500 0.500
Tb2 0.500 0.000 0.000
Tb3 0.500 0.500 0.000
Tb4 0.500 0.500 0.500
Pb1 0.000 0.000 0.500
Pb2 0.000 0.500 0.000
S1 0.258 0.263 0.505
S2 0.258 0.752 0.995
S3 0.264 0.249 0.015
S4 0.266 0.751 0.515
S5 0.734 0.249 0.485
S6 0.736 0.751 0.985
S7 0.742 0.248 0.005
S8 0.742 0.737 0.495

Output
**Size of the total moment**: 0.0 μB per cell
**VASP energy**: -5.41 eV/atom